A plane-wave DFT calculation with PBE was carried out for AlAg after structural relaxation.

Summary:
**Crystal system**: tetragonal
**Magnetization**: 0.0 μB per formula unit

a b c (Å): 6.7081 6.7081 6.7081
angles (deg): 95.17 95.17 145.08
Last column: nearest neighbours and their distance in Å.
Sites, in units of the cell vectors:
Al (0.1069, 0.6067, 0.7136)  4 Ag 2.62-2.71, 5 Al 2.73-2.79
Al (0.3933, 0.1069, 0.5002)  4 Ag 2.62-2.71, 5 Al 2.73-2.79
Al (0.6067, 0.8931, 0.4998)  4 Ag 2.62-2.71, 5 Al 2.73-2.79
Al (0.8931, 0.3933, 0.2864)  4 Ag 2.62-2.71, 5 Al 2.73-2.79
Ag (0.3063, 0.3835, 0.6898)  4 Al 2.62-2.71, 2 Ag 2.89
Ag (0.3835, 0.6937, 0.0773)  4 Al 2.62-2.71, 2 Ag 2.89
Ag (0.6165, 0.3063, 0.9227)  4 Al 2.62-2.71, 2 Ag 2.89
Ag (0.6937, 0.6165, 0.3102)  4 Al 2.62-2.71, 2 Ag 2.89

=====

A plane-wave DFT calculation with PBE was carried out for Al7Ag5 after structural relaxation.

Summary:
**Crystal system**: monoclinic
**Relative energy among the computed polymorphs**: 0.009 eV/atom
**Magnetization**: 0.0 μB per formula unit

a b c (Å): 5.8342 3.9655 9.2223
angles (deg): 90.00 107.52 90.00
Last column: nearest neighbours and their distance in Å.
Sites, in units of the cell vectors:
Al (0.0000, 0.0000, 0.0000)  7 Ag 2.78-3.05, 5 Al 2.89-2.96
Al (0.0061, 0.5000, 0.4970)  5 Ag 2.80-2.95, 7 Al 2.83-2.95
Al (0.1655, 0.5000, 0.8266)  8 Al 2.82-3.02, 4 Ag 2.83-2.99
Al (0.3359, 0.0000, 0.6670)  4 Ag 2.82-2.89, 8 Al 2.82-2.99
Al (0.3474, 0.5000, 0.1698)  8 Ag 2.81-2.95, 4 Al 2.93-3.02
Al (0.5144, 0.5000, 0.5045)  5 Ag 2.78-2.84, 7 Al 2.85-2.95
Al (0.8466, 0.0000, 0.6639)  3 Ag 2.81-2.84, 9 Al 2.82-2.99
Ag (0.1864, 0.0000, 0.3461)  8 Al 2.80-3.05, 4 Ag 2.87-2.97
Ag (0.4821, 0.0000, 0.9952)  7 Al 2.81-3.01, 5 Ag 2.98-3.05
Ag (0.6754, 0.0000, 0.3414)  7 Al 2.82-2.88, 5 Ag 2.87-3.05
Ag (0.6750, 0.5000, 0.8209)  9 Al 2.78-2.99, 3 Ag 2.98-3.00
Ag (0.8498, 0.5000, 0.1616)  5 Al 2.78-2.95, 7 Ag 2.94-3.00

=====

A plane-wave DFT calculation with PBE was carried out for AlAg2 after structural relaxation.

Summary:
**Crystal system**: monoclinic
**Magnetization**: 0.0 μB per formula unit

a b c (Å): 8.3496 3.0251 8.6456
angles (deg): 90.00 109.18 90.00
Last column: nearest neighbours and their distance in Å.
Sites, in units of the cell vectors:
Al (0.0000, 0.0000, 0.0000)  9 Ag 2.74-3.01, 3 Al 2.88-3.03
Al (0.0133, 0.0000, 0.6710)  7 Ag 2.76-2.81, 5 Al 2.88-3.04
Al (0.4920, 0.0000, 0.4964)  8 Ag 2.79-2.91, 4 Al 2.88-3.03
Al (0.7418, 0.5000, 0.4074)  6 Ag 2.74-2.94, 6 Al 2.88-3.04
Ag (0.2387, 0.5000, 0.2451)  4 Al 2.82-2.91, 8 Ag 2.86-3.03
Ag (0.2433, 0.5000, 0.9163)  4 Al 2.79-2.81, 8 Ag 2.86-3.03
Ag (0.2542, 0.5000, 0.5828)  4 Al 2.79-2.81, 8 Ag 2.88-3.03
Ag (0.5067, 0.0000, 0.8300)  1 Al 2.85, 11 Ag 2.88-3.03
Ag (0.5092, 0.0000, 0.1759)  3 Al 2.74-2.82, 9 Ag 2.94-3.03
Ag (0.7613, 0.5000, 0.0745)  3 Al 2.74-2.94, 9 Ag 2.88-3.03
Ag (0.7624, 0.5000, 0.7311)  7 Al 2.75-2.93, 5 Ag 2.96-3.03
Ag (0.9862, 0.0000, 0.3438)  4 Al 2.74-3.01, 8 Ag 2.89-3.03

=====

A plane-wave DFT calculation with PBE was carried out for Al4Ag5 after structural relaxation.

Summary:
**Crystal system**: triclinic
**Relative energy among the computed polymorphs**: 0.000 eV/atom
**Magnetization**: 0.0 μB per formula unit

a b c (Å): 5.0502 5.0928 7.0480
angles (deg): 96.83 97.64 119.72
Last column: nearest neighbours and their distance in Å.
Sites, in units of the cell vectors:
Al (0.0472, 0.3923, 0.1731)  7 Ag 2.74-2.97, 5 Al 2.87-2.98
Al (0.2875, 0.2768, 0.8276)  7 Ag 2.75-2.96, 5 Al 2.85-2.98
Al (0.7125, 0.7232, 0.1724)  7 Ag 2.75-2.96, 5 Al 2.85-2.98
Al (0.9528, 0.6077, 0.8269)  7 Ag 2.74-2.97, 5 Al 2.87-2.98
Ag (0.1596, 0.8292, 0.5003)  4 Al 2.78-2.80, 8 Ag 2.89-2.99
Ag (0.3625, 0.0484, 0.1521)  8 Al 2.74-2.97, 4 Ag 2.83-2.96
Ag (0.5000, 0.5000, 0.5000)  4 Al 2.80-2.81, 8 Ag 2.89-2.97
Ag (0.6375, 0.9516, 0.8479)  8 Al 2.74-2.97, 4 Ag 2.83-2.96
Ag (0.8404, 0.1708, 0.4997)  4 Al 2.78-2.80, 8 Ag 2.89-2.99

=====

A plane-wave DFT calculation with PBE was carried out for Al3Ag5 after structural relaxation.

Summary:
**Crystal system**: triclinic
**Relative energy among the computed polymorphs**: 0.012 eV/atom
**Magnetization**: 0.0 μB per formula unit

a b c (Å): 3.0434 6.0102 7.8465
angles (deg): 88.09 79.30 76.44
Last column: nearest neighbours and their distance in Å.
Sites, in units of the cell vectors:
Al (0.0000, 0.0000, 0.0000)  6 Ag 2.70-2.85, 3 Al 2.84-2.89
Al (0.1270, 0.1204, 0.6377)  6 Ag 2.71-2.86, 3 Al 2.84-2.90
Al (0.3667, 0.3828, 0.8846)  6 Ag 2.79-2.96, 6 Al 2.84-3.04
Ag (0.2657, 0.2402, 0.2307)  3 Al 2.70-2.80, 6 Ag 2.90-2.95
Ag (0.5200, 0.4657, 0.5061)  3 Al 2.71-2.96, 6 Ag 2.90-3.01
Ag (0.6107, 0.6447, 0.1293)  4 Al 2.75-2.88, 7 Ag 2.90-3.04
Ag (0.7583, 0.7468, 0.7601)  6 Al 2.76-2.86, 6 Ag 2.90-3.04
Ag (0.8625, 0.8798, 0.3994)  2 Al 2.74-2.78, 9 Ag 2.90-3.04

=====

A plane-wave DFT calculation with PBE was carried out for Al3Ag after structural relaxation.

Summary:
**Crystal system**: orthorhombic
**Magnetization**: 0.0 μB per formula unit

a b c (Å): 5.0128 5.0128 2.8335
angles (deg): 90.00 90.00 108.66
Last column: nearest neighbours and their distance in Å.
Sites, in units of the cell vectors:
Al (0.0000, 0.0000, 0.0000)  10 Al 2.83-2.88, 2 Ag 2.92
Al (0.0000, 0.5000, 0.5000)  8 Al 2.83-2.92, 4 Ag 2.88
Al (0.5000, 0.0000, 0.5000)  8 Al 2.83-2.92, 4 Ag 2.88
Ag (0.5000, 0.5000, 0.0000)  2 Ag 2.83, 10 Al 2.88-2.92

=====

A plane-wave DFT calculation with PBE was carried out for AlAg2 after structural relaxation.

Summary:
**Crystal system**: orthorhombic
**Magnetization**: 0.0 μB per formula unit

a b c (Å): 6.5756 6.5756 3.9471
angles (deg): 90.00 90.00 143.26
Last column: nearest neighbours and their distance in Å.
Sites, in units of the cell vectors:
Al (0.1659, 0.8341, 0.0000)  10 Ag 2.83-2.93, 2 Al 2.95
Al (0.8341, 0.1659, 0.0000)  10 Ag 2.83-2.93, 2 Al 2.95
Ag (0.0000, 0.0000, 0.5000)  4 Al 2.86, 8 Ag 2.86-2.98
Ag (0.3284, 0.6716, 0.5000)  6 Al 2.83-2.86, 6 Ag 2.85-2.98
Ag (0.5000, 0.5000, 0.0000)  8 Ag 2.86-2.91, 4 Al 2.93
Ag (0.6716, 0.3284, 0.5000)  6 Al 2.83-2.86, 6 Ag 2.85-2.98

=====

A plane-wave DFT calculation with PBE was carried out for Al2Ag3 after structural relaxation.

Summary:
**Crystal system**: monoclinic
**Relative energy among the computed polymorphs**: 0.019 eV/atom
**Magnetization**: 0.0 μB per formula unit

a b c (Å): 4.0182 4.0872 10.5183
angles (deg): 90.00 99.79 90.00
Last column: nearest neighbours and their distance in Å.
Sites, in units of the cell vectors:
Al (0.0000, 0.0000, 0.0000)  6 Ag 2.72-2.92, 6 Al 2.86-2.92
Al (0.1005, 0.5000, 0.2017)  8 Ag 2.80-2.88, 4 Al 2.86-2.93
Al (0.4993, 0.5000, 0.0004)  6 Ag 2.78-2.91, 6 Al 2.86-2.93
Al (0.7971, 0.0000, 0.5964)  12 Ag 2.85-3.01
Ag (0.1989, 0.0000, 0.3972)  4 Al 2.85-2.91, 8 Ag 2.86-3.03
Ag (0.2975, 0.5000, 0.6007)  4 Al 2.86-2.87, 8 Ag 2.91-2.99
Ag (0.3966, 0.0000, 0.8007)  6 Al 2.84-2.94, 6 Ag 2.87-2.91
Ag (0.5918, 0.0000, 0.1820)  8 Al 2.72-2.87, 4 Ag 2.97-3.03
Ag (0.6971, 0.5000, 0.3942)  4 Al 2.80-2.93, 8 Ag 2.86-3.00
Ag (0.9009, 0.5000, 0.8100)  6 Al 2.78-3.01, 6 Ag 2.87-2.99

=====

| no. | calculated volume (A^3/atom) | final energy (eV/atom) | formation energy from the elements (eV per formula unit) |
| --- | --- | --- | --- |
| 1 | 20.6 | -3.16 | 0.277 |
| 2 | 17.0 | -3.39 | -0.244 |
| 3 | 17.2 | -3.19 | -0.117 |
| 4 | 16.9 | -3.28 | -0.295 |
| 5 | 17.1 | -3.22 | -0.301 |
| 6 | 16.9 | -3.52 | -0.018 |
| 7 | 17.0 | -3.20 | -0.140 |
| 8 | 17.0 | -3.23 | -0.127 |